Computed, not measured: a PBEsol-optimized structure of CuNiRh2 at the SCAN level of DFT.

The space group is Cm, No. 8. For the formation energy, the calculation gives 0.079 eV/atom. The total energy comes out at -98.6 eV/cell. The theoretical density comes out at 11.08 Mg/m³.

abc: 4.503 4.503 4.408
angles: 100.55 100.55 34.09
Sites, in units of the cell vectors:
Cu 0.000 0.000 0.000
Ni 0.252 0.252 0.769
Rh 0.504 0.504 0.507
Rh 0.754 0.754 0.269


Computed, not measured: a PBEsol-optimized structure of Er3Ge13Ir4 at the SCAN level of DFT.

The space group is Pm-3n, No. 223. For the formation energy, the calculation gives -0.611 eV/atom. The total energy comes out at -1391.5 eV/cell. The theoretical density comes out at 10.44 Mg/m³.

abc: 8.897 8.897 8.897
angles: 90.00 90.00 90.00
Sites, in units of the cell vectors:
Er 0.000 0.250 0.500
Er 0.000 0.750 0.500
Er 0.250 0.500 0.000
Er 0.500 0.000 0.250
Er 0.500 0.000 0.750
Er 0.750 0.500 0.000
Ge 0.000 0.000 0.000
Ge 0.000 0.309 0.144
Ge 0.000 0.309 0.856
Ge 0.000 0.691 0.144
Ge 0.000 0.691 0.856
Ge 0.144 0.000 0.309
Ge 0.144 0.000 0.691
Ge 0.191 0.500 0.356
Ge 0.191 0.500 0.644
Ge 0.309 0.144 0.000
Ge 0.309 0.856 0.000
Ge 0.356 0.191 0.500
Ge 0.356 0.809 0.500
Ge 0.500 0.356 0.191
Ge 0.500 0.356 0.809
Ge 0.500 0.500 0.500
Ge 0.500 0.644 0.191
Ge 0.500 0.644 0.809
Ge 0.644 0.191 0.500
Ge 0.644 0.809 0.500
Ge 0.691 0.144 0.000
Ge 0.691 0.856 0.000
Ge 0.809 0.500 0.356
Ge 0.809 0.500 0.644
Ge 0.856 0.000 0.309
Ge 0.856 0.000 0.691
Ir 0.250 0.250 0.250
Ir 0.250 0.250 0.750
Ir 0.250 0.750 0.250
Ir 0.250 0.750 0.750
Ir 0.750 0.250 0.250
Ir 0.750 0.250 0.750
Ir 0.750 0.750 0.250
Ir 0.750 0.750 0.750


Computed, not measured: a PBEsol-optimized structure of LiYAl2 at the SCAN level of DFT.

The space group is R3m, No. 160. For the formation energy, the calculation gives 0.100 eV/atom. The total energy comes out at -45.3 eV/cell. The theoretical density comes out at 3.01 Mg/m³.

abc: 10.125 10.125 10.125
angles: 17.59 17.59 17.59
Sites, in units of the cell vectors:
Li 0.000 0.000 0.000
Y 0.765 0.765 0.765
Al 0.258 0.258 0.258
Al 0.517 0.517 0.517


Computed, not measured: a PBEsol-optimized structure of KH2Pd2 at the SCAN level of DFT.

The space group is I4/mmm, No. 139. The total energy comes out at -81.8 eV/cell. The theoretical density comes out at 5.31 Mg/m³.

abc: 6.171 6.171 6.171
angles: 144.35 144.35 51.30
Sites, in units of the cell vectors:
K 0.000 0.000 0.000
H 0.250 0.750 0.500
H 0.750 0.250 0.500
Pd 0.267 0.267 0.000
Pd 0.733 0.733 0.000


Computed, not measured: a PBEsol-optimized structure of WCl6 at the SCAN level of DFT.

The raw formation energy is -0.92 eV per atom. The space group is R-3, No. 148. The total energy comes out at -124.0 eV/cell. The theoretical density comes out at 3.59 Mg/m³.

abc: 6.612 6.612 6.612
angles: 55.63 55.63 55.63
Sites, in units of the cell vectors:
W 0.000 0.000 0.000
Cl 0.082 0.380 0.775
Cl 0.225 0.918 0.620
Cl 0.380 0.775 0.082
Cl 0.620 0.225 0.918
Cl 0.775 0.082 0.380
Cl 0.918 0.620 0.225


Computed, not measured: a PBEsol-optimized structure of Y2Ni2Sb at the SCAN level of DFT.

The raw formation energy is -0.67 eV per atom. The space group is P4/mbm, No. 127. The total energy comes out at -257.3 eV/cell. The theoretical density comes out at 7.24 Mg/m³.

abc: 7.016 7.016 3.885
angles: 90.00 90.00 90.00
Sites, in units of the cell vectors:
Y 0.176 0.324 0.000
Y 0.324 0.824 0.000
Y 0.676 0.176 0.000
Y 0.824 0.676 0.000
Ni 0.121 0.621 0.500
Ni 0.379 0.121 0.500
Ni 0.621 0.879 0.500
Ni 0.879 0.379 0.500
Sb 0.000 0.000 0.500
Sb 0.500 0.500 0.500


Computed, not measured: a PBEsol-optimized structure of LiZn3 at the SCAN level of DFT.

The space group is P6_3/mmc, No. 194. For the formation energy, the calculation gives -0.192 eV/atom. The total energy comes out at -87.4 eV/cell. The theoretical density comes out at 6.19 Mg/m³.

abc: 5.391 5.391 4.328
angles: 90.00 90.00 120.00
Sites, in units of the cell vectors:
Li 0.333 0.667 0.250
Li 0.667 0.333 0.750
Zn 0.167 0.335 0.750
Zn 0.167 0.833 0.750
Zn 0.335 0.167 0.250
Zn 0.665 0.833 0.750
Zn 0.833 0.167 0.250
Zn 0.833 0.665 0.250


Computed, not measured: a PBEsol-optimized structure of Be2ReMo at the SCAN level of DFT.

The space group is Cmm2, No. 35. For the formation energy, the calculation gives 0.095 eV/atom. The total energy comes out at -114.3 eV/cell. As for the offset from the most stable computed form: 0.356 eV/atom. The theoretical density comes out at 10.71 Mg/m³.

abc: 2.677 2.677 6.637
angles: 90.00 90.00 101.99
Sites, in units of the cell vectors:
Be 0.000 0.000 0.000
Be 0.500 0.500 0.173
Re 0.000 0.000 0.418
Mo 0.500 0.500 0.746